1.
## MnCu (PBE-GGA)

Data for a relaxed structure of MnCu.

Results
DFT formation energy ... 0.321 eV per atom

The structure in POSCAR format:
```
MnCu
1.0
-0.520 -1.268 3.884
-2.680 -3.098 -1.371
3.936 -3.179 -0.511
Cu Mn
4 4
direct
0.250 0.579 0.375
0.250 0.079 0.125
0.750 0.921 0.875
0.750 0.421 0.625
0.750 0.428 0.125
0.250 0.572 0.875
0.250 0.072 0.625
0.750 0.928 0.375
```

---

2.
## ZrAgSnAu (PBE-GGA)

Data for a relaxed structure of ZrAgSnAu.

Results
DFT formation energy ... -0.231 eV per atom

The structure in POSCAR format:
```
ZrAgSnAu
1.0
-4.311 -0.257 -2.240
-1.137 -3.922 -2.646
-3.387 -3.110 1.591
Zr Sn Ag Au
1 1 1 1
direct
0.000 0.000 0.000
0.250 0.250 0.250
0.500 0.500 0.500
0.750 0.750 0.750
```

---

3.
## VH3I (PBE-GGA)

Data for a relaxed structure of VH3I.

Results
Electronic total energy ... -2.67 eV per atom

The structure in POSCAR format:
```
VH3I
1.0
4.214 0.000 0.000
0.000 4.214 0.000
0.000 0.000 4.214
H I V
3 1 1
direct
0.500 0.000 0.000
0.000 0.000 0.500
0.000 0.500 0.000
0.000 0.000 0.000
0.500 0.500 0.500
```

---

4.
## Sc2TcAu2 (PBE-GGA)

Data for a relaxed structure of Sc2TcAu2.

Results
DFT formation energy ... -0.075 eV per atom

The structure in POSCAR format:
```
Sc2TcAu2
1.0
3.668 0.000 0.000
0.000 3.668 0.000
1.834 1.834 7.618
Au Tc Sc
2 1 2
direct
0.250 0.750 0.500
0.750 0.250 0.500
0.000 0.000 0.000
0.595 0.595 0.810
0.405 0.405 0.190
```

---

5.
## HfNbVIn2 (PBE-GGA)

Data for a relaxed structure of HfNbVIn2.

Results
DFT formation energy ... 0.764 eV per atom

The structure in POSCAR format:
```
HfNbVIn2
1.0
-3.540 -3.430 1.026
-0.232 -1.063 -4.354
3.571 -3.487 0.661
In Nb V Hf
2 1 1 1
direct
0.000 0.000 0.500
0.500 0.000 0.000
0.000 0.500 0.000
0.000 0.000 0.000
0.500 0.500 0.500
```

---

6.
## NdTmTl (PBE-GGA)

Data for a relaxed structure of NdTmTl.

Results
DFT formation energy ... -0.215 eV per atom

The structure in POSCAR format:
```
NdTmTl
1.0
3.646 0.000 0.000
0.000 3.646 0.000
-1.823 -1.823 6.808
Nd Tm Tl
1 1 1
direct
0.609 0.609 0.219
0.297 0.297 0.594
0.944 0.944 0.888
```

---

7.
## GaCuAs2Au (PBE-GGA)

Data for a relaxed structure of GaCuAs2Au.

Results
DFT formation energy ... 0.849 eV per atom

The structure in POSCAR format:
```
GaCuAs2Au
1.0
-1.098 4.777 -0.068
-3.714 -0.896 -2.994
-2.959 -0.625 3.858
Au Ga Cu As
1 1 1 2
direct
0.000 0.500 0.000
0.000 0.000 0.000
0.500 0.500 0.500
0.000 0.000 0.500
0.500 0.000 0.000
```

---

8.
## Cs3Np2ScSe6 (PBE-GGA)

Data for a relaxed structure of Cs3Np2ScSe6.

Results
ΔE_f (raw) ... -1.328 eV/atom

The structure in POSCAR format:
```
Cs3Np2ScSe6
1.0
-2.262 6.783 1.723
-3.706 -5.851 2.475
6.777 -0.451 5.437
Cs Se Np Sc
3 6 2 1
direct
0.832 0.168 0.500
0.168 0.832 0.500
0.500 0.500 0.500
0.939 0.619 0.818
0.381 0.061 0.182
0.740 0.740 0.183
0.619 0.939 0.818
0.260 0.260 0.817
0.061 0.381 0.182
0.667 0.333 0.000
0.333 0.667 0.000
0.000 0.000 0.000
```

---

What are the volume values for these records? In order: 11.31; 20.36; 14.97; 20.50; 22.75; 30.16; 23.33; 32.58 A^3/atom.